(1)
Entry from Alexandria via LeMat-Bulk: a geometry-optimized PmMn5C2 structure (PBE).

a b c (Å): 5.6570 5.6570 5.6570
angles (deg): 146.59 109.09 80.69
Last column: nearest neighbours and their distance in Å.
Sites, in units of the cell vectors:
Pm 0.0000 0.0000 0.0000  4 C 2.75, 8 Mn 2.99
Mn 0.1543 0.3370 0.8174  3 C 2.13-2.23, 2 Mn 2.38
Mn 0.4804 0.6630 0.8174  3 C 2.13-2.23, 2 Mn 2.38
Mn 0.5000 0.0000 0.5000  2 C 2.10
Mn 0.5196 0.3370 0.1826  3 C 2.13-2.23, 2 Mn 2.38
Mn 0.8457 0.6630 0.1826  3 C 2.13-2.23, 2 Mn 2.38
C 0.2569 0.7569 0.5000  7 Mn 2.10-2.23
C 0.7431 0.2431 0.5000  7 Mn 2.10-2.23

Values from the calculation:
Its formation energy is 0.0744 eV/atom.

(2)
Entry from Alexandria via LeMat-Bulk: a geometry-optimized ScCuCl structure (PBE).

a b c (Å): 4.4732 4.4732 4.4732
angles (deg): 60.00 60.00 60.00
Last column: nearest neighbours and their distance in Å.
Sites, in units of the cell vectors:
Sc 0.0000 0.0000 0.0000  4 Cl 2.74, 4 Cu 2.74
Cu 0.2500 0.2500 0.2500  4 Sc 2.74
Cl 0.7500 0.7500 0.7500  4 Sc 2.74

Values from the calculation:
For the energy relative to the elements, uncorrected, the calculation gives -0.79 eV/f.u. The energy relative to the lowest polymorph listed for this composition is 383.6 meV/atom.

(3)
Entry from Alexandria via LeMat-Bulk: a geometry-optimized La12Ag5N2 structure (PBE).

a b c (Å): 9.3532 9.3532 9.5516
angles (deg): 104.07 104.07 48.93
Last column: nearest neighbours and their distance in Å.
Sites, in units of the cell vectors:
La 0.0000 0.0000 0.1892  2 N 2.61
La 0.0000 0.0000 0.8108  2 N 2.61
La 0.1014 0.6011 0.9216  1 N 2.44
La 0.1074 0.5987 0.4334  4 Ag 3.07-3.15
La 0.3989 0.8986 0.0784  1 N 2.44
La 0.4013 0.8926 0.5666  4 Ag 3.07-3.15
La 0.4954 0.4954 0.1760  2 N 2.62
La 0.5046 0.5046 0.8240  2 N 2.62
La 0.5987 0.1074 0.4334  4 Ag 3.07-3.15
La 0.6011 0.1014 0.9216  1 N 2.44
La 0.8926 0.4013 0.5666  4 Ag 3.07-3.15
La 0.8986 0.3989 0.0784  1 N 2.44
Ag 0.1926 0.1926 0.8330  7 La 3.15-3.28
Ag 0.2011 0.2011 0.3591  7 La 3.10-3.38
Ag 0.5000 0.5000 0.5000  6 La 3.07-3.08
Ag 0.7989 0.7989 0.6409  7 La 3.10-3.38
Ag 0.8074 0.8074 0.1670  7 La 3.15-3.28
N 0.2428 0.7572 0.0000  6 La 2.44-2.62
N 0.7572 0.2428 0.0000  6 La 2.44-2.62

Values from the calculation:
For the energy relative to the elements, uncorrected, the calculation gives -5.59 eV/f.u.

no.,M_tot (μB per atom)
1,0.847
2,0.279
3,0.000